The following is a PBE-GGA calculation of a relaxed structure of Tb5TmRu4, from Alexandria via LeMat-Bulk.

Its total magnetization is 0.00 μB/cell. For the volume, the calculation gives 23.42 A^3/atom. The calculated formation energy is -2.7 eV/f.u.

The structure belongs to space group C2/m (No. 12); the cell edges are 14.457, 4.823 and 6.720 Å and the angles 90.00°, 90.44° and 90.00°. Symmetry generates all atoms from Tb at (0.000, 0.000, 0.000), Tb at (0.166, 0.500, 0.001), Tb at (0.166, 0.500, 0.500), Tm at (0.000, 0.000, 0.500), Ru at (0.001, 0.500, 0.748) and Ru at (0.164, 0.000, 0.750).

The following is a PBE-GGA calculation of a relaxed structure of Tb2TmRu3, from Alexandria via LeMat-Bulk.

Its total magnetization is 0.00 μB/cell. For the volume, the calculation gives 19.51 A^3/atom. The calculated formation energy is -2.0 eV/f.u. The value obtained for the energy above the most stable polymorph in this dataset is 0 meV per atom.

The structure belongs to space group P4/mmm (No. 123); the cell edges are 3.398, 3.398 and 10.137 Å and the angles 90.00°, 90.00° and 90.00°. Symmetry generates all atoms from Tb at (0.000, 0.000, 0.169), Tm at (0.000, 0.000, 0.500), Ru at (0.500, 0.500, 0.000) and Ru at (0.500, 0.500, 0.337).

What did the second record say?
The following is a PBE-GGA calculation of a relaxed structure of Tb2TmRu3, from Alexandria via LeMat-Bulk.

Its total magnetization is 0.00 μB/cell. For the volume, the calculation gives 19.51 A^3/atom. The calculated formation energy is -2.0 eV/f.u. The value obtained for the energy above the most stable polymorph in this dataset is 0 meV per atom.

The structure belongs to space group P4/mmm (No. 123); the cell edges are 3.398, 3.398 and 10.137 Å and the angles 90.00°, 90.00° and 90.00°. Symmetry generates all atoms from Tb at (0.000, 0.000, 0.169), Tm at (0.000, 0.000, 0.500), Ru at (0.500, 0.500, 0.000) and Ru at (0.500, 0.500, 0.337).